DFT (meta-GGA SCAN) results for a PBEsol-optimized structure of Rb3BiO3.

Energy in eV per atom: -24.211
Symmetry: P2_13, No. 198
DOS(E_F) in states/eV/cell: 0.00
Volume in Å³ per cell: 669.2

a b c (Å): 8.7468 8.7468 8.7468
angles (deg): 90.00 90.00 90.00
Last column: nearest neighbours and their distance in Å.
Element x y z (fractional)
O1 0.7168 0.0619 0.9956  1 Bi 2.08
O2 0.4956 0.7832 0.9381  1 Bi 2.08
O3 0.9381 0.4956 0.7832  1 Bi 2.08
O4 0.4381 0.0044 0.2168  1 Bi 2.08
O5 0.7832 0.9381 0.4956  1 Bi 2.08
O6 0.5619 0.5044 0.2832  1 Bi 2.08
O7 0.0619 0.9956 0.7168  1 Bi 2.08
O8 0.0044 0.2168 0.4381  1 Bi 2.08
O9 0.9956 0.7168 0.0619  1 Bi 2.08
O10 0.5044 0.2832 0.5619  1 Bi 2.08
O11 0.2168 0.4381 0.0044  1 Bi 2.08
O12 0.2832 0.5619 0.5044  1 Bi 2.08
Rb1 0.2140 0.7140 0.7860  6 O 2.86-3.08
Rb2 0.7094 0.2094 0.2906  6 O 2.89-3.04
Rb3 0.7140 0.7860 0.2140  6 O 2.86-3.08
Rb4 0.7906 0.7906 0.7906  6 O 2.89-3.04
Rb5 0.2094 0.2906 0.7094  6 O 2.89-3.04
Rb6 0.0234 0.0234 0.0234  3 O 2.71
Rb7 0.5234 0.4766 0.9766  3 O 2.71
Rb8 0.2860 0.2860 0.2860  6 O 2.86-3.08
Rb9 0.7860 0.2140 0.7140  6 O 2.86-3.08
Rb10 0.4766 0.9766 0.5234  3 O 2.71
Rb11 0.2906 0.7094 0.2094  6 O 2.89-3.04
Rb12 0.9766 0.5234 0.4766  3 O 2.71
Bi1 0.4837 0.0163 0.9837  3 O 2.08
Bi2 0.9837 0.4837 0.0163  3 O 2.08
Bi3 0.0163 0.9837 0.4837  3 O 2.08
Bi4 0.5163 0.5163 0.5163  3 O 2.08



DFT (meta-GGA SCAN) results for a PBEsol-optimized structure of Rb12Sn2Bi6O.

Energy in eV per atom: -38.545
Symmetry: P-3m1, No. 164
DOS(E_F) in states/eV/cell: 0.75
Volume in Å³ per cell: 854.4

a b c (Å): 6.3273 12.4871 12.4871
angles (deg): 120.00 90.00 90.00
Last column: nearest neighbours and their distance in Å.
Element x y z (fractional)
Bi1 0.2364 0.5927 0.7964  1 Sn 2.81
Bi2 0.2364 0.2036 0.4073  1 Sn 2.81
Bi3 0.7636 0.4073 0.2036  1 Sn 2.81
Bi4 0.2364 0.2036 0.7964  1 Sn 2.81
Bi5 0.7636 0.7964 0.5927  1 Sn 2.81
Bi6 0.7636 0.7964 0.2036  1 Sn 2.81
Rb1 0.7501 0.0921 0.5461  2 Rb 3.74, 4 Bi 4.02-4.10, 2 Sn 4.08-4.12
Rb2 0.2781 0.2201 0.1100  1 O 2.76
Rb3 0.7501 0.4539 0.5461  2 Rb 3.74, 4 Bi 4.02-4.10, 2 Sn 4.08-4.12
Rb4 0.7501 0.4539 0.9079  2 Rb 3.74, 4 Bi 4.02-4.10, 2 Sn 4.08-4.12
Rb5 0.2499 0.5461 0.0921  2 Rb 3.74, 4 Bi 4.02-4.10, 2 Sn 4.08-4.12
Rb6 0.2499 0.5461 0.4539  2 Rb 3.74, 4 Bi 4.02-4.10, 2 Sn 4.08-4.12
Rb7 0.7219 0.1100 0.8900  1 O 2.76
Rb8 0.7219 0.1100 0.2201  1 O 2.76
Rb9 0.2781 0.8900 0.7799  1 O 2.76
Rb10 0.7219 0.7799 0.8900  1 O 2.76
Rb11 0.2499 0.9079 0.4539  2 Rb 3.74, 4 Bi 4.02-4.10, 2 Sn 4.08-4.12
Rb12 0.2781 0.8900 0.1100  1 O 2.76
O1 0.5000 0.0000 0.0000  6 Rb 2.76
Sn1 0.2469 0.3333 0.6667  3 Bi 2.81
Sn2 0.7531 0.6667 0.3333  3 Bi 2.81



DFT (meta-GGA SCAN) results for a PBEsol-optimized structure of ReBiO5.

Energy in eV per atom: -27.295
Symmetry: P2_1/c, No. 14
DOS(E_F) in states/eV/cell: 0.00
Volume in Å³ per cell: 494.1

a b c (Å): 4.3893 8.5588 13.2236
angles (deg): 90.00 90.00 95.90
Last column: nearest neighbours and their distance in Å.
Element x y z (fractional)
O1 0.6605 0.5280 0.2943  1 Re 1.76
O2 0.2674 0.5839 0.4835  3 Bi 2.13-2.30
O3 0.2802 0.0381 0.6372  1 Re 1.74
O4 0.7326 0.4161 0.5165  3 Bi 2.13-2.30
O5 0.7802 0.5381 0.8628  1 Re 1.74
O6 0.8421 0.7667 0.6202  1 Re 1.77
O7 0.3421 0.2667 0.8798  1 Re 1.77
O8 0.3395 0.4720 0.7057  1 Re 1.76
O9 0.6579 0.7333 0.1202  1 Re 1.77
O10 0.1579 0.2333 0.3798  1 Re 1.77
O11 0.7674 0.0839 0.0165  3 Bi 2.13-2.30
O12 0.8118 0.2802 0.7291  1 Re 1.73
O13 0.8395 0.9720 0.7943  1 Re 1.76
O14 0.1882 0.7198 0.2709  1 Re 1.73
O15 0.1605 0.0280 0.2057  1 Re 1.76
O16 0.3118 0.7802 0.7709  1 Re 1.73
O17 0.7198 0.9619 0.3628  1 Re 1.74
O18 0.2326 0.9161 0.9835  3 Bi 2.13-2.30
O19 0.2198 0.4619 0.1372  1 Re 1.74
O20 0.6882 0.2198 0.2291  1 Re 1.73
Re1 0.0700 0.8893 0.7041  4 O 1.73-1.77
Re2 0.5700 0.3893 0.7959  4 O 1.73-1.77
Re3 0.9300 0.1107 0.2959  4 O 1.73-1.77
Re4 0.4300 0.6107 0.2041  4 O 1.73-1.77
Bi1 0.2824 0.1475 0.0438  3 O 2.13-2.30
Bi2 0.7824 0.6475 0.4562  3 O 2.13-2.30
Bi3 0.2176 0.3525 0.5438  3 O 2.13-2.30
Bi4 0.7176 0.8525 0.9562  3 O 2.13-2.30



Repeat the second record exactly.
DFT (meta-GGA SCAN) results for a PBEsol-optimized structure of Rb12Sn2Bi6O.

Energy in eV per atom: -38.545
Symmetry: P-3m1, No. 164
DOS(E_F) in states/eV/cell: 0.75
Volume in Å³ per cell: 854.4

a b c (Å): 6.3273 12.4871 12.4871
angles (deg): 120.00 90.00 90.00
Last column: nearest neighbours and their distance in Å.
Element x y z (fractional)
Bi1 0.2364 0.5927 0.7964  1 Sn 2.81
Bi2 0.2364 0.2036 0.4073  1 Sn 2.81
Bi3 0.7636 0.4073 0.2036  1 Sn 2.81
Bi4 0.2364 0.2036 0.7964  1 Sn 2.81
Bi5 0.7636 0.7964 0.5927  1 Sn 2.81
Bi6 0.7636 0.7964 0.2036  1 Sn 2.81
Rb1 0.7501 0.0921 0.5461  2 Rb 3.74, 4 Bi 4.02-4.10, 2 Sn 4.08-4.12
Rb2 0.2781 0.2201 0.1100  1 O 2.76
Rb3 0.7501 0.4539 0.5461  2 Rb 3.74, 4 Bi 4.02-4.10, 2 Sn 4.08-4.12
Rb4 0.7501 0.4539 0.9079  2 Rb 3.74, 4 Bi 4.02-4.10, 2 Sn 4.08-4.12
Rb5 0.2499 0.5461 0.0921  2 Rb 3.74, 4 Bi 4.02-4.10, 2 Sn 4.08-4.12
Rb6 0.2499 0.5461 0.4539  2 Rb 3.74, 4 Bi 4.02-4.10, 2 Sn 4.08-4.12
Rb7 0.7219 0.1100 0.8900  1 O 2.76
Rb8 0.7219 0.1100 0.2201  1 O 2.76
Rb9 0.2781 0.8900 0.7799  1 O 2.76
Rb10 0.7219 0.7799 0.8900  1 O 2.76
Rb11 0.2499 0.9079 0.4539  2 Rb 3.74, 4 Bi 4.02-4.10, 2 Sn 4.08-4.12
Rb12 0.2781 0.8900 0.1100  1 O 2.76
O1 0.5000 0.0000 0.0000  6 Rb 2.76
Sn1 0.2469 0.3333 0.6667  3 Bi 2.81
Sn2 0.7531 0.6667 0.3333  3 Bi 2.81